# 1
# YSbOs2, relaxed, DFT GGA-PBE
# ΔE_f (raw) = 0.274 eV/atom
# Density of states at the Fermi level = 0.574 states/eV/atom
# Total DFT energy (no corrections) = -63.9 eV for the cell shown
data_YSbOs2
_chemical_formula_sum 'Y2 Sb2 Os4'
_cell_length_a 9.214
_cell_length_b 3.209
_cell_length_c 5.344
_cell_angle_alpha 90.00
_cell_angle_beta 103.49
_cell_angle_gamma 90.00
_symmetry_space_group_name_H-M 'C 1 2/m 1'
_symmetry_Int_Tables_number 12
loop_
_symmetry_equiv_pos_as_xyz
'x,y,z'
'-x,-y,-z'
'-x,y,-z'
'x,-y,z'
'x+1/2,y+1/2,z'
'-x+1/2,-y+1/2,-z'
'-x+1/2,y+1/2,-z'
'x+1/2,-y+1/2,z'
loop_
_atom_site_label
_atom_site_fract_x
_atom_site_fract_y
_atom_site_fract_z
Y1 0.000 0.000 0.000
Sb1 0.000 0.500 0.500
Os1 0.243 0.000 0.707



# 2
# Y2SbOs2, relaxed, DFT GGA-PBE
# ΔE_f (raw) = -0.224 eV/atom
# Density of states at the Fermi level = 0.671 states/eV/atom
# Total DFT energy (no corrections) = -81.3 eV for the cell shown
data_Y2SbOs2
_chemical_formula_sum 'Y4 Sb2 Os4'
_cell_length_a 7.004
_cell_length_b 7.004
_cell_length_c 4.495
_cell_angle_alpha 90.00
_cell_angle_beta 90.00
_cell_angle_gamma 90.00
_symmetry_space_group_name_H-M 'P 4/m b m'
_symmetry_Int_Tables_number 127
_symmetry_space_group_name_Hall '-P 4 2ab'
loop_
_atom_site_label
_atom_site_fract_x
_atom_site_fract_y
_atom_site_fract_z
Y1 0.179 0.321 0.000
Sb1 0.000 0.000 0.500
Os1 0.120 0.620 0.500



# 3
# Y4SbOs, relaxed, DFT GGA-PBE
# ΔE_f (raw) = -0.549 eV/atom
# Density of states at the Fermi level = 0.818 states/eV/atom
# Energy above the most stable polymorph in this dataset = 0.0 kJ per mole of atoms
# Total DFT energy (no corrections) = -178.0 eV for the cell shown
data_Y4SbOs
_chemical_formula_sum 'Y16 Sb4 Os4'
_cell_length_a 9.011
_cell_length_b 13.404
_cell_length_c 6.196
_cell_angle_alpha 90.00
_cell_angle_beta 116.03
_cell_angle_gamma 90.00
_symmetry_space_group_name_H-M 'C 1 2/c 1'
_symmetry_Int_Tables_number 15
loop_
_symmetry_equiv_pos_as_xyz
'x,y,z'
'-x,-y,-z'
'-x,y,-z+1/2'
'x,-y,z+1/2'
'x+1/2,y+1/2,z'
'-x+1/2,-y+1/2,-z'
'-x+1/2,y+1/2,-z+1/2'
'x+1/2,-y+1/2,z+1/2'
loop_
_atom_site_label
_atom_site_fract_x
_atom_site_fract_y
_atom_site_fract_z
Y1 0.111 0.170 0.074
Y2 0.220 0.431 0.330
Sb1 0.000 0.372 0.750
Os1 0.000 0.000 0.250



# 4
# YSbOs2, relaxed, DFT GGA-PBE
# ΔE_f (raw) = 0.173 eV/atom
# Density of states at the Fermi level = 0.859 states/eV/atom
# Total DFT energy (no corrections) = -32.4 eV for the cell shown
data_YSbOs2
_chemical_formula_sum 'Y1 Sb1 Os2'
_cell_length_a 2.999
_cell_length_b 4.105
_cell_length_c 6.640
_cell_angle_alpha 90.00
_cell_angle_beta 101.68
_cell_angle_gamma 90.00
_symmetry_space_group_name_H-M 'P 1 m 1'
_symmetry_Int_Tables_number 6
loop_
_symmetry_equiv_pos_as_xyz
'x,y,z'
'x,-y,z'
loop_
_atom_site_label
_atom_site_fract_x
_atom_site_fract_y
_atom_site_fract_z
Y1 0.000 0.000 0.000
Sb1 0.380 0.500 0.690
Os1 0.039 0.000 0.421
Os2 0.536 0.500 0.289



> The lowest total DFT energy (no corrections) belongs to which entry?

Y4SbOs